Arrangement 1

Below is TbDy5Ho2 after structural relaxation, with properties calculated at the GGA-PBE level.

Results
Space-group type: P-1, No. 2
M_tot in μB per cell: 0.00

Structure (POSCAR):
```
TbDy5Ho2
1.0
-0.855 -0.890 -6.560
-3.083 -5.930 11.959
-8.042 3.825 -3.443
Tb Dy Ho
2 10 4
Cartesian
-3.525 -1.438 2.840
-8.455 -1.557 -0.884
-6.006 -3.516 4.434
-10.084 -2.748 7.268
-2.502 -4.098 5.055
-2.461 -0.059 -1.863
-5.409 0.334 -5.928
-9.518 -2.936 3.820
-1.896 -0.247 -5.312
-5.974 0.521 -2.478
-9.478 1.102 -3.099
-6.571 -3.329 7.884
-7.033 -0.857 2.225
-4.946 -2.138 -0.269
-8.059 1.803 0.017
-3.920 -4.798 1.939
```

=====

Arrangement 2

Below is TbDy5Ho2 after structural relaxation, with properties calculated at the GGA-PBE level.

Results
Space-group type: Pbam, No. 55
M_tot in μB per cell: 0.00

Structure (POSCAR):
```
TbDy5Ho2
1.0
4.990 0.000 0.000
0.000 7.068 0.000
0.000 0.000 14.137
Tb Dy Ho
2 10 4
Cartesian
0.000 0.000 7.068
0.000 3.534 0.000
0.000 0.000 0.000
2.495 5.297 8.837
2.495 1.763 12.368
2.495 5.306 1.769
0.000 7.063 10.604
0.000 0.006 3.533
0.000 3.540 3.536
2.495 1.772 5.299
0.000 3.534 7.068
0.000 3.528 10.601
2.495 1.763 8.836
2.495 1.771 1.767
2.495 5.297 12.369
2.495 5.305 5.301
```

=====

What should be chosen as the most stable of them? Choose arrangement 1.

=====

Arrangement 1

Below is TbDy4Ho7 after structural relaxation, with properties calculated at the GGA-PBE level.

Results
Space-group type: C2/m, No. 12
M_tot in μB per cell: 0.00

Structure (POSCAR):
```
TbDy4Ho7
1.0
5.823 0.000 0.000
2.912 11.084 -0.294
2.912 0.174 5.980
Ho Dy Tb
7 4 1
Cartesian
2.912 0.000 0.000
5.823 5.681 4.436
2.912 7.548 0.990
5.823 5.577 1.251
2.912 0.935 2.968
8.735 10.323 2.718
8.735 3.709 4.697
5.823 2.577 2.937
8.735 7.683 4.624
2.912 3.575 1.063
5.823 8.681 2.749
0.000 0.000 0.000
```

=====

Arrangement 2

Below is TbDy4Ho7 after structural relaxation, with properties calculated at the GGA-PBE level.

Results
Space-group type: P-1, No. 2
M_tot in μB per cell: 0.00

Structure (POSCAR):
```
TbDy4Ho7
1.0
5.980 -1.313 2.832
1.158 5.860 2.446
2.670 -1.875 11.154
Ho Tb Dy
7 1 4
Cartesian
1.884 2.486 2.321
7.924 0.186 14.110
7.374 2.104 8.340
5.550 -0.551 6.821
2.990 -0.656 1.416
4.258 3.223 9.610
2.434 0.569 8.091
0.000 0.000 0.000
4.621 2.530 6.222
6.972 2.709 11.709
5.187 0.142 10.210
2.837 -0.037 4.722
```

=====

What should be chosen as the most stable of them? Choose arrangement 2.

=====

Arrangement 1

Below is TbDy6Ho after structural relaxation, with properties calculated at the GGA-PBE level.

Results
Space-group type: P-1, No. 2
M_tot in μB per cell: 0.00

Structure (POSCAR):
```
TbDy6Ho
1.0
6.274 -0.205 2.343
0.463 6.454 -0.678
1.008 -0.943 6.752
Dy Ho Tb
6 1 1
Cartesian
1.417 4.239 2.954
4.488 4.358 4.334
3.257 0.948 4.083
6.328 1.067 5.463
4.793 3.781 7.523
2.952 1.524 0.894
0.232 3.227 -0.339
0.000 0.000 0.000
```

=====

Arrangement 2

Below is TbDy6Ho after structural relaxation, with properties calculated at the GGA-PBE level.

Results
Space-group type: P4/mmm, No. 123
M_tot in μB per cell: 0.00

Structure (POSCAR):
```
TbDy6Ho
1.0
-3.750 3.259 -0.566
-3.191 -3.341 1.913
1.736 3.590 9.168
Dy Tb Ho
6 1 1
Cartesian
-2.603 1.754 5.257
-1.163 -0.775 3.243
-0.572 4.324 6.598
-0.293 1.024 7.837
-3.471 -0.041 0.673
-1.442 2.525 2.004
0.868 1.795 4.584
0.000 0.000 0.000
```

=====

What should be chosen as the most stable of them? Choose arrangement 2.

=====

Arrangement 1

Below is Tb2Dy8Ho after structural relaxation, with properties calculated at the GGA-PBE level.

Results
Space-group type: C2/m, No. 12
M_tot in μB per cell: 0.00

Structure (POSCAR):
```
Tb2Dy8Ho
1.0
6.092 0.536 1.995
0.804 7.789 4.814
-0.052 2.489 8.848
Dy Ho Tb
8 1 2
Cartesian
4.279 2.514 4.211
4.722 5.850 5.738
4.995 6.136 9.121
4.271 3.054 7.867
2.573 7.760 7.791
2.122 4.964 9.920
1.848 4.678 6.537
2.565 8.299 11.447
0.000 0.000 0.000
0.881 2.975 4.096
5.963 7.838 11.562
```

=====

Arrangement 2

Below is Tb2Dy8Ho after structural relaxation, with properties calculated at the GGA-PBE level.

Results
Space-group type: C2/m, No. 12
M_tot in μB per cell: 0.00

Structure (POSCAR):
```
Tb2Dy8Ho
1.0
6.236 1.735 1.316
2.175 9.415 2.993
2.175 5.418 8.261
Dy Ho Tb
8 1 2
Cartesian
3.482 6.563 4.980
6.605 6.497 6.902
6.189 5.042 3.826
3.982 8.171 8.172
7.105 10.005 7.591
4.398 11.526 8.745
3.982 10.071 5.669
6.605 8.397 4.399
0.000 0.000 0.000
3.360 3.668 2.783
7.227 12.900 9.788
```

=====

What should be chosen as the most stable of them? Choose arrangement 2.